Compound: K3Ce2NiO6
Source: Alexandria via LeMat-Bulk
Functional: PBE with a Hubbard U
Structure: relaxed

## Properties
The calculation puts the raw total energy at -6.17 eV/atom. Its space group is C2/m. The total magnetic moment comes out at 1.000 μB per formula unit.

The structure in CIF format:
```
data_K3Ce2NiO6
_chemical_formula_sum 'K3 Ce2 Ni1 O6'
_cell_length_a 6.2291
_cell_length_b 6.2291
_cell_length_c 6.3945
_cell_angle_alpha 97.07
_cell_angle_beta 97.07
_cell_angle_gamma 123.53
_space_group_name_H-M_alt 'P 1'
_space_group_IT_number 1
loop_
_space_group_symop_operation_xyz
'x,y,z'
loop_
_atom_site_label
_atom_site_fract_x
_atom_site_fract_y
_atom_site_fract_z
K1 0.8483 0.1517 0.5000
K2 0.1517 0.8483 0.5000
K3 0.5000 0.5000 0.5000
O1 0.5547 0.9389 0.7967
O2 0.7266 0.7266 0.1695
O3 0.0611 0.4453 0.2033
O4 0.9389 0.5547 0.7967
O5 0.4453 0.0611 0.2033
O6 0.2734 0.2734 0.8305
Ce1 0.3352 0.6648 0.0000
Ce2 0.6648 0.3352 0.0000
Ni1 0.0000 0.0000 0.0000
```

Compound: K3Ce3NiO8
Source: Alexandria via LeMat-Bulk
Functional: PBE with a Hubbard U
Structure: relaxed

## Properties
The calculation puts the raw total energy at -6.67 eV/atom. Its space group is R-3m. The total magnetic moment comes out at 3.089 μB per formula unit.

The structure in CIF format:
```
data_K3Ce3NiO8
_chemical_formula_sum 'K3 Ce3 Ni1 O8'
_cell_length_a 6.9805
_cell_length_b 6.9828
_cell_length_c 7.4380
_cell_angle_alpha 118.00
_cell_angle_beta 90.00
_cell_angle_gamma 119.99
_space_group_name_H-M_alt 'P 1'
_space_group_IT_number 1
loop_
_space_group_symop_operation_xyz
'x,y,z'
loop_
_atom_site_label
_atom_site_fract_x
_atom_site_fract_y
_atom_site_fract_z
O1 0.2215 0.4429 0.6726
O2 0.2208 0.9511 0.6720
O3 0.7792 0.0489 0.3280
O4 0.2697 0.0489 0.3280
O5 0.7303 0.9511 0.6720
O6 0.7785 0.5571 0.3274
O7 0.2696 0.5392 0.3087
O8 0.7304 0.4608 0.6913
K1 0.5000 0.5000 0.0000
K2 0.0000 0.5000 0.0000
K3 0.0000 0.0000 0.0000
Ce1 0.5000 0.0000 0.5000
Ce2 0.0000 0.5000 0.5000
Ce3 0.5000 0.5000 0.5000
Ni1 0.0000 0.0000 0.5000
```